Material: ZrSc2Sb2
Method: DFT, PBE
State: optimized geometry

Lattice parameters (Å, degrees): 7.6990 7.6990 3.9305 90.00 90.00 90.00
Atoms (fractional coordinates):
Sb 0.3543 0.8543 0.0000
Sb 0.1457 0.3543 0.0000
Sb 0.6457 0.1457 0.0000
Sb 0.8543 0.6457 0.0000
Sc 0.1571 0.6571 0.5000
Sc 0.8429 0.3429 0.5000
Sc 0.3429 0.1571 0.5000
Sc 0.6571 0.8429 0.5000
Zr 0.5000 0.5000 0.0000
Zr 0.0000 0.0000 0.0000

Summary:
Fermi-level density of states, states/eV/f.u.: 6.2
Electronic total energy, eV/atom: -6.639
Calculated volume, Å³ per atom: 23.3


Material: Zr5ScSb6
Method: DFT, PBE
State: optimized geometry

Lattice parameters (Å, degrees): 7.1742 7.1676 7.1759 60.04 80.38 70.45
Atoms (fractional coordinates):
Zr 0.0000 0.3328 0.3343
Zr 0.0000 0.6672 0.6657
Zr 0.5000 0.1684 0.6632
Zr 0.5000 0.5000 0.0000
Zr 0.5000 0.8316 0.3368
Sc 0.0000 0.0000 0.0000
Sb 0.7513 0.4132 0.6699
Sb 0.7513 0.0831 0.3301
Sb 0.7514 0.7523 0.0000
Sb 0.2486 0.2477 0.0000
Sb 0.2487 0.5868 0.3301
Sb 0.2487 0.9169 0.6699

Summary:
Fermi-level density of states, states/eV/f.u.: 7.4
Electronic total energy, eV/atom: -6.770
Calculated volume, Å³ per atom: 25.1


Material: ZrScSb
Method: DFT, PBE
State: optimized geometry

Lattice parameters (Å, degrees): 4.7758 4.7758 4.7758 60.00 60.00 60.00
Last column: magnetic moment on the atom in μB.
Atoms (fractional coordinates):
Sc 0.0000 0.0000 0.0000  0.15
Zr 0.5000 0.5000 0.5000  0.31
Sb 0.7500 0.7500 0.7500  -0.01

Summary:
Fermi-level density of states, states/eV/f.u.: 3.6
Electronic total energy, eV/atom: -6.670
Calculated volume, Å³ per atom: 25.7


Material: ZrScSb
Method: DFT, PBE
State: optimized geometry

Lattice parameters (Å, degrees): 3.3785 3.3785 7.2611 90.00 90.00 120.00
Atoms (fractional coordinates):
Sb 0.0000 0.0000 0.9979
Sc 0.6667 0.3333 0.3327
Zr 0.3333 0.6667 0.6694

Summary:
Fermi-level density of states, states/eV/f.u.: 3.3
Electronic total energy, eV/atom: -6.626
Calculated volume, Å³ per atom: 23.9


Material: ZrSc3Sb2
Method: DFT, PBE
State: optimized geometry

Lattice parameters (Å, degrees): 4.2373 4.2373 7.8042 90.00 90.00 90.00
Atoms (fractional coordinates):
Sc 0.0000 0.5000 0.6581
Sc 0.0000 0.0000 0.0000
Sc 0.5000 0.0000 0.3419
Sb 0.0000 0.5000 0.2800
Sb 0.5000 0.0000 0.7200
Zr 0.5000 0.5000 0.0000

Summary:
Fermi-level density of states, states/eV/f.u.: 4.9
Electronic total energy, eV/atom: -6.718
Calculated volume, Å³ per atom: 23.4


Material: ZrScSb
Method: DFT, PBE
State: optimized geometry

Lattice parameters (Å, degrees): 7.1266 6.9298 3.3217 79.65 73.05 27.29
Atoms (fractional coordinates):
Sb 0.0020 0.0020 0.9980
Sc 0.3369 0.3369 0.6631
Zr 0.6611 0.6611 0.3389

Summary:
Fermi-level density of states, states/eV/f.u.: 2.9
Electronic total energy, eV/atom: -6.689
Calculated volume, Å³ per atom: 23.6


Material: ZrScSb
Method: DFT, PBE
State: optimized geometry

Lattice parameters (Å, degrees): 5.5274 5.5274 5.5274 140.58 140.58 56.97
Atoms (fractional coordinates):
Zr 0.6610 0.6610 0.0000
Sc 0.3375 0.3375 0.0000
Sb 0.0015 0.0015 0.0000

Summary:
Fermi-level density of states, states/eV/f.u.: 0.9
Electronic total energy, eV/atom: -6.929
Calculated volume, Å³ per atom: 22.5


Material: ZrSc5Sb6
Method: DFT, PBE
State: optimized geometry

Lattice parameters (Å, degrees): 7.1983 7.1994 7.1943 59.98 80.40 70.53
Atoms (fractional coordinates):
Sb 0.7494 0.4176 0.6660
Sb 0.2506 0.5824 0.3340
Sb 0.2500 0.2508 0.0000
Sb 0.2506 0.9164 0.6660
Sb 0.7494 0.0836 0.3340
Sb 0.7500 0.7492 0.0000
Sc 0.5000 0.8338 0.3323
Sc 0.0000 0.6669 0.6662
Sc 0.5000 0.1662 0.6677
Sc 0.0000 0.3331 0.3338
Sc 0.5000 0.5000 0.0000
Zr 0.0000 0.0000 0.0000

Summary:
Fermi-level density of states, states/eV/f.u.: 2.7
Electronic total energy, eV/atom: -6.301
Calculated volume, Å³ per atom: 25.4


Material: Zr3Sc2Sb3
Method: DFT, PBE
State: optimized geometry

Lattice parameters (Å, degrees): 5.7783 8.4660 8.4660 120.00 90.00 90.00
Last column: magnetic moment on the atom in μB.
Atoms (fractional coordinates):
Zr 0.2500 0.7548 0.0000  0.02
Zr 0.2500 0.2452 0.2452  0.02
Zr 0.7500 0.0000 0.2452  0.02
Zr 0.7500 0.7548 0.7548  0.02
Zr 0.7500 0.2452 0.0000  0.02
Zr 0.2500 0.0000 0.7548  0.02
Sc 0.0000 0.6667 0.3333  0.19
Sc 0.0000 0.3333 0.6667  0.19
Sc 0.5000 0.6667 0.3333  0.19
Sc 0.5000 0.3333 0.6667  0.19
Sb 0.2500 0.6078 0.6078  0.00
Sb 0.2500 0.3922 0.0000  0.00
Sb 0.7500 0.6078 0.0000  0.00
Sb 0.7500 0.0000 0.6078  0.00
Sb 0.2500 0.0000 0.3922  0.00
Sb 0.7500 0.3922 0.3922  0.00

Summary:
Fermi-level density of states, states/eV/f.u.: 8.1
Electronic total energy, eV/atom: -7.043
Calculated volume, Å³ per atom: 22.4


Material: ZrScSb
Method: DFT, PBE
State: optimized geometry

Lattice parameters (Å, degrees): 3.8564 10.5165 7.4108 90.00 90.00 90.00
Atoms (fractional coordinates):
Zr 0.2500 0.4380 0.5000
Zr 0.7500 0.9380 0.5000
Zr 0.2500 0.4380 0.0000
Zr 0.7500 0.9380 0.0000
Sc 0.2500 0.7626 0.2500
Sc 0.7500 0.2626 0.2500
Sc 0.7500 0.2626 0.7500
Sc 0.2500 0.7626 0.7500
Sb 0.7500 0.6457 0.0000
Sb 0.7500 0.6457 0.5000
Sb 0.2500 0.1457 0.0000
Sb 0.2500 0.1457 0.5000

Summary:
Fermi-level density of states, states/eV/f.u.: 3.3
Electronic total energy, eV/atom: -6.689
Calculated volume, Å³ per atom: 25.0


Material: Zr2Sc2Sb
Method: DFT, PBE
State: optimized geometry

Lattice parameters (Å, degrees): 7.5073 7.5073 4.2801 90.00 90.00 90.00
Atoms (fractional coordinates):
Sb 0.0000 0.0000 0.0000
Sb 0.5000 0.5000 0.0000
Zr 0.3589 0.8589 0.0000
Zr 0.8589 0.6411 0.0000
Zr 0.6411 0.1411 0.0000
Zr 0.1411 0.3589 0.0000
Sc 0.1574 0.6574 0.5000
Sc 0.6574 0.8426 0.5000
Sc 0.3426 0.1574 0.5000
Sc 0.8426 0.3426 0.5000

Summary:
Fermi-level density of states, states/eV/f.u.: 5.8
Electronic total energy, eV/atom: -6.976
Calculated volume, Å³ per atom: 24.1


Material: Zr3ScSb3
Method: DFT, PBE
State: optimized geometry

Lattice parameters (Å, degrees): 8.3898 8.3898 7.3909 55.42 55.42 60.00
Atoms (fractional coordinates):
Zr 0.0687 0.3183 0.7620
Zr 0.9313 0.6817 0.2380
Zr 0.3183 0.8510 0.7620
Zr 0.1490 0.9313 0.2380
Zr 0.8510 0.0687 0.7620
Zr 0.6817 0.1490 0.2380
Sb 0.6746 0.4756 0.7442
Sb 0.8944 0.3254 0.2558
Sb 0.3254 0.5244 0.2558
Sb 0.1056 0.6746 0.7442
Sb 0.5244 0.8944 0.2558
Sb 0.4756 0.1056 0.7442
Sc 0.6836 0.6836 0.9491
Sc 0.3164 0.3164 0.0509

Summary:
Fermi-level density of states, states/eV/f.u.: 6.9
Electronic total energy, eV/atom: -6.940
Calculated volume, Å³ per atom: 24.3


Material: Zr4ScSb
Method: DFT, PBE
State: optimized geometry

Lattice parameters (Å, degrees): 5.8561 5.8561 5.8561 60.00 60.00 60.00
Atoms (fractional coordinates):
Zr 0.3722 0.3722 0.3722
Zr 0.8835 0.3722 0.3722
Zr 0.3722 0.8835 0.3722
Zr 0.3722 0.3722 0.8835
Sc 0.0000 0.0000 0.0000
Sb 0.7500 0.7500 0.7500

Summary:
Fermi-level density of states, states/eV/f.u.: 11.0
Electronic total energy, eV/atom: -7.306
Calculated volume, Å³ per atom: 23.7